! RbVNO2 (PBE+U, relaxed); values from VASP
! - Theoretical density: 3.70 g cm⁻³
! - Space group: P4/mmm (123)
! - Energy: -0.2510 Ry per atom
&SYSTEM
  ibrav = 0, nat = 5, ntyp = 4
/
ATOMIC_SPECIES
Rb 85.47 Rb.upf
V 50.94 V.upf
N 14.01 N.upf
O 16.00 O.upf
ATOMIC_POSITIONS crystal
Rb 0.000 0.000 0.000
V 0.500 0.500 0.500
N 0.000 0.000 0.500
O 0.000 0.500 0.000
O 0.500 0.000 0.000
CELL_PARAMETERS angstrom
4.237 0.000 0.000
0.000 4.237 0.000
0.000 0.000 4.565